CsHgAuF6 PBE-GGA optimized geometry; total moment = 0.00 μB/atom; formation energy (no corrections) = -1624 meV per atom
1.0
5.761 0.000 0.000
-1.680 5.571 0.000
-0.724 -0.967 6.547
Cs Hg Au F
1 1 1 6
Cartesian
0.000 0.000 0.000
0.120 3.486 3.277
3.246 1.138 3.292
-0.823 1.150 4.300
-0.596 2.924 1.462
1.547 1.146 2.318
0.430 4.350 5.091
2.105 5.085 2.318
2.689 2.763 4.234